The following is a PBE calculation of HoSc5Pd4 after structural relaxation, from Alexandria.

The structure belongs to space group P4/mmm (No. 123); the cell edges are 3.309, 3.309 and 18.281 Å and the angles 90.00°, 90.00° and 90.00°. The asymmetric unit holds Ho at (0.000, 0.000, 0.000), Sc at (0.500, 0.500, 0.136), Sc at (0.500, 0.500, 0.317), Sc at (0.500, 0.500, 0.500), Pd at (0.000, 0.000, 0.227) and Pd at (0.000, 0.000, 0.408).

The value obtained for the total magnetic moment is 0.0000 μB/atom. The calculation puts the energy relative to the elements at -699 meV/atom. The value obtained for the uncorrected energy is -64.0 eV/cell.

=====

The following is a PBE calculation of Ho2ScPd3 after structural relaxation, from Alexandria.

The structure belongs to space group Pmmn (No. 59, origin choice 2); the cell edges are 4.885, 14.797 and 3.359 Å and the angles 90.00°, 90.00° and 90.00°. The asymmetric unit holds Ho at (0.250, 0.084, 0.001), Sc at (0.250, 0.750, 0.999), Pd at (0.250, 0.250, 0.501) and Pd at (0.250, 0.596, 0.499).

The value obtained for the total magnetic moment is 0.0000 μB/atom. The calculation puts the energy relative to the elements at -896 meV/atom. The value obtained for the uncorrected energy is -72.9 eV/cell.

=====

The following is a PBE calculation of Ho2Sc3Pd4 after structural relaxation, from Alexandria.

The structure belongs to space group Cmce (No. 64); the cell edges are 6.220, 16.805 and 7.240 Å and the angles 90.00°, 90.00° and 90.00°. The asymmetric unit holds Ho at (0.000, 0.097, 0.088), Sc at (0.000, 0.000, 0.500), Sc at (0.250, 0.233, 0.750), Pd at (0.000, 0.168, 0.466) and Pd at (0.250, 0.068, 0.750).

The value obtained for the total magnetic moment is 0.0000 μB/atom. The calculation puts the energy relative to the elements at -746 meV/atom. The value obtained for the uncorrected energy is -222.5 eV/cell.